The following is a DFT calculation (PBE-GGA) of crystalline AgH2PdF8 at its relaxed geometry.

Calculated values
Total energy = -3.7543 eV/atom

The structure in extended XYZ format:
```
12
Lattice="-0.055 -0.842 -4.923 -2.812 -3.905 -0.487 -5.736 3.785 0.868" Properties=species:S:1:pos:R:3 pbc="T T T"
F -3.419 -2.301 -1.437
F -4.069 0.752 -1.092
F -6.777 -0.183 -0.445
F -5.184 1.338 -3.104
F -4.534 -1.715 -3.449
F -1.826 -0.779 -4.096
F -7.920 0.138 -3.124
F -0.683 -1.101 -1.417
Pd 0.000 0.000 0.000
H -4.625 1.163 -1.824
H -3.978 -2.125 -2.717
Ag -2.868 1.892 0.434
```

***

The following is a DFT calculation (PBE-GGA) of crystalline Ag2HPdF6 at its relaxed geometry.

Calculated values
Total energy = -3.7848 eV/atom

The structure in extended XYZ format:
```
20
Lattice="-3.106 -4.066 -3.947 0.417 -3.581 3.361 -8.214 2.582 3.771" Properties=species:S:1:pos:R:3 pbc="T T T"
Ag -7.049 -2.030 2.327
Ag -3.854 -3.035 0.858
Ag -6.616 2.079 3.037
Ag -4.286 -7.143 0.148
Pd -3.899 -0.499 3.566
Pd -1.553 -2.033 -1.973
F -5.553 -1.424 4.170
F -2.950 -5.167 0.704
F -8.171 -0.283 5.830
F -2.243 -1.693 -0.140
F -5.350 -3.641 -0.985
F -8.660 -3.372 3.325
F -5.581 -3.908 2.253
F -7.953 0.103 2.481
F -7.855 -2.852 0.165
F -2.732 -4.781 -2.645
F -3.048 -2.212 3.020
F -5.321 -1.156 0.932
H 0.209 -1.790 1.680
H -5.660 -0.742 -0.088
```

***

The following is a DFT calculation (PBE-GGA) of crystalline AgHPdF6 at its relaxed geometry.

Calculated values
Total energy = -3.5585 eV/atom

The structure in extended XYZ format:
```
18
Lattice="4.950 0.000 0.000 -2.475 4.287 0.000 0.000 0.000 10.612" Properties=species:S:1:pos:R:3 pbc="T T T"
F 1.650 2.721 6.895
F 4.007 1.497 6.895
F -1.532 2.790 3.717
F 3.182 0.069 9.023
F 0.943 1.497 9.023
F -0.707 4.218 1.589
F 1.768 0.069 6.895
F 0.707 4.218 3.717
F 1.532 2.790 1.589
F -0.825 1.566 1.589
F 0.825 1.566 3.717
F 3.300 2.721 9.023
H 0.000 2.858 2.653
H 2.475 1.429 7.959
Pd 0.000 2.858 7.959
Pd 2.475 1.429 2.653
Ag 0.000 0.000 5.306
Ag 0.000 0.000 0.000
```

***

The following is a DFT calculation (PBE-GGA) of crystalline PmAgH2F8 at its relaxed geometry.

Calculated values
Total energy = -4.6096 eV/atom

The structure in extended XYZ format:
```
12
Lattice="-2.465 -0.731 -2.870 0.182 -4.818 -1.466 -5.180 -3.212 5.891" Properties=species:S:1:pos:R:3 pbc="T T T"
F -3.507 -3.206 1.596
F -3.067 -3.098 -1.067
F -3.956 -5.555 -0.041
F -0.880 -1.480 -0.896
F -4.396 -5.663 2.622
F -6.026 -4.058 1.761
F -1.437 -4.703 -0.206
F -6.583 -7.281 2.451
Ag 0.000 0.000 0.000
H -2.421 -3.764 -0.693
H -5.042 -4.997 2.248
Pm -2.590 -1.606 2.945
```

***

The following is a DFT calculation (PBE-GGA) of crystalline AgHPtF6 at its relaxed geometry.

Calculated values
Total energy = -3.6860 eV/atom

The structure in extended XYZ format:
```
18
Lattice="-4.637 0.817 -1.641 3.571 -1.369 -3.199 -2.462 -10.486 1.738" Properties=species:S:1:pos:R:3 pbc="T T T"
F -5.050 -8.367 0.349
F 1.523 -2.671 -3.451
F -1.166 -3.848 -1.133
F -0.288 -4.461 -3.588
F -3.239 -6.577 0.486
F -4.375 -8.944 -2.177
F -2.361 -7.190 -1.969
F 0.847 -2.094 -0.924
F 1.401 -4.513 -1.510
F -4.928 -6.525 -1.592
F -2.530 -9.056 -0.239
F -0.998 -1.982 -2.863
Ag -1.231 -5.243 0.869
Ag 0.000 0.000 0.000
H -3.747 -7.776 -0.857
H 0.220 -3.262 -2.245
Pt -1.011 -8.505 -1.376
Pt -2.516 -2.533 -1.726
```

***

The following is a DFT calculation (PBE-GGA) of crystalline AgH2PtF8 at its relaxed geometry.

Calculated values
Total energy = -3.8856 eV/atom

The structure in extended XYZ format:
```
12
Lattice="4.945 0.652 -0.427 0.690 4.803 0.070 -0.669 0.215 7.064" Properties=species:S:1:pos:R:3 pbc="T T T"
F 1.432 1.285 -0.067
F 1.628 3.832 1.504
F 0.841 4.055 5.648
F 1.298 1.749 3.875
F 4.126 1.614 1.058
F 3.339 1.838 5.202
F 3.535 4.385 6.773
F 3.669 3.920 2.832
Ag -0.334 0.107 3.532
H 2.976 3.951 2.132
H 1.991 1.719 4.574
Pt 0.000 0.000 0.000
```

***

The following is a DFT calculation (PBE-GGA) of crystalline PuAgH2F8 at its relaxed geometry.

Calculated values
Total energy = -5.5020 eV/atom

The structure in extended XYZ format:
```
12
Lattice="4.744 0.582 0.117 0.631 4.942 -0.429 0.235 -0.672 7.734" Properties=species:S:1:pos:R:3 pbc="T T T"
F 4.140 0.784 6.142
F 1.700 0.718 7.642
F 3.910 4.133 -0.219
F 1.820 3.068 5.796
F 3.790 1.784 1.626
F 3.748 3.575 3.256
F 1.471 4.067 1.280
F 1.862 1.277 4.167
H 1.851 1.964 4.883
H 3.760 2.888 2.539
Ag 0.118 -0.336 3.867
Pu 0.000 0.000 0.000
```

***

The following is a DFT calculation (PBE-GGA) of crystalline RbAgH2F8 at its relaxed geometry.

Calculated values
Total energy = -3.5193 eV/atom

The structure in extended XYZ format:
```
12
Lattice="-0.868 -4.972 0.888 0.172 -2.970 -4.164 7.531 -2.755 0.462" Properties=species:S:1:pos:R:3 pbc="T T T"
H 1.495 -6.328 -2.193
H 5.339 -4.369 -0.621
F 0.706 -4.963 -0.244
F 4.388 -4.226 -0.760
F 6.128 -5.734 -2.570
F 6.897 -4.421 -0.323
F 5.591 -6.777 0.043
F 1.244 -3.920 -2.857
F -0.063 -6.276 -2.491
F 2.446 -6.471 -2.054
Rb 3.765 -1.377 0.231
Ag 0.000 0.000 0.000
```

***

The following is a DFT calculation (PBE-GGA) of crystalline RbAgH2F4 at its relaxed geometry.

Calculated values
Total energy = -4.0488 eV/atom

The structure in extended XYZ format:
```
8
Lattice="-4.131 3.356 0.655 -4.416 -1.692 2.769 -0.505 2.741 4.718" Properties=species:S:1:pos:R:3 pbc="T T T"
F -7.895 3.472 5.657
F -2.548 2.062 2.705
F -2.056 -0.086 2.037
F -5.605 3.362 5.885
Ag -4.526 2.203 4.071
H -6.749 3.421 5.758
H -2.303 0.984 2.384
Rb 0.000 0.000 0.000
```

***

The following is a DFT calculation (PBE-GGA) of crystalline Ag2HRhF6 at its relaxed geometry.

Calculated values
Total energy = -3.9992 eV/atom

The structure in extended XYZ format:
```
20
Lattice="4.638 0.000 -0.633 0.000 4.393 0.000 -0.781 0.000 12.234" Properties=species:S:1:pos:R:3 pbc="T T T"
F 0.161 3.176 4.438
F 3.696 1.217 7.162
F 2.581 3.439 5.621
F 0.645 3.170 7.550
F 1.767 0.980 1.362
F 3.354 3.419 1.116
F 3.212 1.223 4.051
F 2.089 3.413 10.239
F -0.128 3.150 12.055
F 3.985 1.243 -0.454
F 1.276 0.953 5.980
F 0.502 0.974 10.484
H 0.000 2.196 0.000
H 1.928 0.000 5.800
Ag 1.811 1.065 8.540
Ag 2.046 3.328 3.061
Ag 3.975 3.261 8.861
Ag -0.118 1.132 2.739
Rh 2.319 0.000 -0.317
Rh -0.391 2.196 6.117
```

***

The following is a DFT calculation (PBE-GGA) of crystalline AgHRuF6 at its relaxed geometry.

Calculated values
Total energy = -4.2238 eV/atom

The structure in extended XYZ format:
```
18
Lattice="-3.639 2.972 1.677 -0.706 -4.934 -0.208 3.808 -0.965 9.975" Properties=species:S:1:pos:R:3 pbc="T T T"
H 0.195 -0.387 8.530
H -0.732 -2.540 2.914
F 0.274 -1.930 1.459
F 0.880 1.034 9.536
F -1.417 -3.961 1.908
F -0.304 -1.831 7.450
F -2.173 -1.445 2.440
F -1.364 0.548 8.085
F -1.669 -3.334 4.326
F -0.232 -1.095 3.994
F 1.636 -1.482 9.004
F 0.827 -3.474 3.359
F 1.132 0.407 7.118
F -0.810 -0.997 9.985
Ru -1.709 0.096 3.542
Ru 1.172 -3.022 7.902
Ag 1.904 -0.482 4.987
Ag 0.000 0.000 0.000
```

***

The following is a DFT calculation (PBE-GGA) of crystalline AgSbH2F8 at its relaxed geometry.

Calculated values
Total energy = -4.2487 eV/atom

The structure in extended XYZ format:
```
12
Lattice="-4.729 0.619 -1.227 -1.530 -4.337 -1.899 -2.410 -1.229 6.849" Properties=species:S:1:pos:R:3 pbc="T T T"
F -4.207 -4.036 3.770
F -6.013 -1.341 4.240
F -3.900 -2.097 6.066
F -4.462 -0.912 -0.046
F -2.656 -3.607 -0.516
F -4.769 -2.851 -2.342
F -5.332 -3.142 0.806
F -3.337 -1.806 2.918
H -3.681 -2.567 3.406
H -4.988 -2.381 0.318
Ag -1.205 -0.615 3.425
Sb 0.000 0.000 0.000
```

***

The following is a DFT calculation (PBE-GGA) of crystalline SiAgH2F8 at its relaxed geometry.

Calculated values
Total energy = -4.5623 eV/atom

The structure in extended XYZ format:
```
12
Lattice="5.015 0.821 -0.009 0.832 4.899 0.146 0.025 0.259 6.473" Properties=species:S:1:pos:R:3 pbc="T T T"
F 1.828 4.052 1.188
F 4.525 1.847 1.339
F 1.313 1.353 6.107
F 1.545 1.615 3.777
F 4.044 1.927 5.422
F 4.558 4.627 0.503
F 4.326 4.364 2.833
F 1.346 4.132 5.271
Ag 0.012 0.130 3.237
H 1.528 1.587 4.818
H 4.344 4.392 1.792
Si 0.000 0.000 0.000
```

***

The following is a DFT calculation (PBE-GGA) of crystalline AgSnH2F8 at its relaxed geometry.

Calculated values
Total energy = -4.1590 eV/atom

The structure in extended XYZ format:
```
12
Lattice="-3.180 -1.222 3.594 -0.538 -4.743 -0.716 6.290 -1.314 3.065" Properties=species:S:1:pos:R:3 pbc="T T T"
F 5.346 -2.838 3.775
F 2.422 -2.451 2.516
F -1.396 -2.273 3.559
F 2.440 -3.020 4.766
F 0.132 -4.258 1.178
F 0.150 -4.828 3.428
F -2.774 -4.441 2.169
F 3.968 -5.006 2.385
H 2.567 -2.674 3.532
H 0.006 -4.605 2.412
Ag 3.145 -0.657 1.533
Sn 0.000 0.000 0.000
```

***

The following is a DFT calculation (PBE-GGA) of crystalline AgSnH2F at its relaxed geometry.

Calculated values
Total energy = -3.1376 eV/atom

The structure in extended XYZ format:
```
5
Lattice="3.739 0.000 0.000 0.000 5.681 0.000 0.000 0.000 3.739" Properties=species:S:1:pos:R:3 pbc="T T T"
Ag 0.000 2.841 0.000
F 1.870 2.841 1.870
Sn 0.000 0.000 0.000
H 0.000 0.000 1.870
H 1.870 0.000 0.000
```

***

The following is a DFT calculation (PBE-GGA) of crystalline SrAgH2F8 at its relaxed geometry.

Calculated values
Total energy = -3.9986 eV/atom

The structure in extended XYZ format:
```
12
Lattice="5.151 0.665 -0.397 0.888 4.502 0.095 -0.649 0.290 7.489" Properties=species:S:1:pos:R:3 pbc="T T T"
F 4.098 1.468 1.068
F 1.372 1.356 0.143
F 1.344 1.958 4.259
F 4.045 3.499 2.929
F 1.291 3.989 6.120
F 1.949 3.689 1.998
F 4.017 4.100 7.044
F 3.440 1.768 5.190
H 3.135 3.581 2.372
H 2.254 1.875 4.816
Ag 0.000 0.000 0.000
Sr -0.325 0.145 3.745
```

***

The following is a DFT calculation (PBE-GGA) of crystalline SrAgHF6 at its relaxed geometry.

Calculated values
Total energy = -4.2568 eV/atom

The structure in extended XYZ format:
```
9
Lattice="-0.574 -1.335 5.304 -3.943 -2.596 0.839 1.816 -5.333 -0.240" Properties=species:S:1:pos:R:3 pbc="T T T"
Sr -4.296 -3.816 5.315
F -1.697 -5.747 1.058
F 0.352 -2.904 2.798
F -0.717 -5.309 4.493
F -2.265 -3.208 1.888
F -1.787 -3.293 4.819
F 0.934 -5.482 1.963
H -1.233 -4.297 4.662
Ag -0.664 -4.335 1.922
```

***

The following is a DFT calculation (PBE-GGA) of crystalline TlAgH2F8 at its relaxed geometry.

Calculated values
Total energy = -3.6595 eV/atom

The structure in extended XYZ format:
```
12
Lattice="3.529 0.778 -0.164 0.734 4.938 0.596 -0.430 1.073 9.104" Properties=species:S:1:pos:R:3 pbc="T T T"
H 1.838 3.624 7.093
H 1.995 3.166 2.443
F 1.211 1.410 0.555
F 1.271 2.090 4.995
F 2.562 4.700 4.541
F 2.811 2.435 2.526
F 2.621 5.380 8.981
F 2.747 2.818 7.173
F 1.022 4.354 7.011
F 1.086 3.971 2.363
Ag 0.000 0.000 0.000
Tl -0.215 0.537 4.552
```

***

The following is a DFT calculation (PBE-GGA) of crystalline ZnAg2HF6 at its relaxed geometry.

Calculated values
Total energy = -3.6554 eV/atom

The structure in extended XYZ format:
```
20
Lattice="5.985 0.000 0.075 0.000 4.807 0.000 0.087 0.000 9.724" Properties=species:S:1:pos:R:3 pbc="T T T"
F 3.941 3.868 1.561
F 2.130 0.939 8.238
F 2.334 0.923 4.815
F 5.079 1.465 3.414
F 1.992 0.926 1.416
F 3.737 3.884 4.984
F 5.028 1.477 6.315
F 4.079 3.881 8.383
F 5.370 1.480 9.715
F 0.992 3.342 6.385
F 0.702 3.327 0.084
F 1.044 3.330 3.484
H 3.036 0.000 4.900
H 0.000 2.403 0.000
Zn 0.043 2.403 4.862
Zn 2.992 0.000 0.038
Ag 3.045 2.366 3.061
Ag 0.096 0.038 7.885
Ag 3.027 2.441 6.738
Ag 5.976 4.769 1.914
```